# 1
The following is a DFT calculation (PBE) of crystalline Be3CuBr at its relaxed geometry.

abc: 4.2725 4.2725 4.2725
angles: 90.00 90.00 90.00
Fractional coordinates of all 5 atoms:
Be1 0.5000 0.0000 0.0000
Be2 0.0000 0.0000 0.5000
Br1 0.5000 0.5000 0.5000
Cu1 0.0000 0.0000 0.0000
Be3 0.0000 0.5000 0.0000

Values from the calculation:
Its volume is 15.60 Å³/atom. For the energy relative to the elements, uncorrected, the calculation gives 798 meV/atom. Its total energy is -2.59 eV/atom. For the energy relative to the lowest polymorph listed for this composition, the calculation gives 0.0 meV/atom. The value obtained for the size of the total moment is 0.00 μB per formula unit.

---

# 2
The following is a DFT calculation (PBE) of crystalline BeCu3Br at its relaxed geometry.

abc: 4.2879 4.2879 4.2879
angles: 90.00 90.00 90.00
Fractional coordinates of all 5 atoms:
Cu1 0.0000 0.0000 0.5000
Cu2 0.5000 0.0000 0.0000
Br1 0.5000 0.5000 0.5000
Cu3 0.0000 0.5000 0.0000
Be1 0.0000 0.0000 0.0000

Values from the calculation:
Its volume is 15.77 Å³/atom. For the energy relative to the elements, uncorrected, the calculation gives 611 meV/atom. Its total energy is -2.93 eV/atom. For the energy relative to the lowest polymorph listed for this composition, the calculation gives 0.0 meV/atom. The value obtained for the size of the total moment is 0.00 μB per formula unit.

---

# 3
The following is a DFT calculation (PBE) of crystalline BeCu2Br at its relaxed geometry.

abc: 6.2929 6.2929 5.6419
angles: 56.10 56.10 90.00
Fractional coordinates of all 8 atoms:
Br1 0.7500 0.2500 0.5000
Cu1 0.3750 0.4200 0.7500
Be1 0.5000 0.5000 0.0000
Cu2 0.5800 0.1250 0.2500
Be2 0.2500 0.7500 0.5000
Cu3 0.8750 0.8300 0.7500
Br2 0.0000 0.0000 0.0000
Cu4 0.1700 0.6250 0.2500

Values from the calculation:
Its volume is 17.17 Å³/atom. For the energy relative to the elements, uncorrected, the calculation gives 549 meV/atom. Its total energy is -2.85 eV/atom. For the energy relative to the lowest polymorph listed for this composition, the calculation gives 431.5 meV/atom. The value obtained for the size of the total moment is 0.00 μB per formula unit.

---

# 4
The following is a DFT calculation (PBE) of crystalline BeCuBr2 at its relaxed geometry.

abc: 3.3432 5.0737 6.1925
angles: 79.44 90.00 90.00
Fractional coordinates of all 4 atoms:
Br1 0.0000 0.8371 0.8982
Cu1 0.0000 0.5683 0.5272
Br2 0.5000 0.2373 0.4190
Be1 0.5000 0.8573 0.6555

Values from the calculation:
Its volume is 25.82 Å³/atom. For the energy relative to the elements, uncorrected, the calculation gives -166 meV/atom. Its total energy is -2.96 eV/atom. For the energy relative to the lowest polymorph listed for this composition, the calculation gives 0.0 meV/atom. The value obtained for the size of the total moment is 0.00 μB per formula unit.

---

- What is the energy relative to the lowest polymorph listed for this composition in the third record?
  431.5 meV/atom

---

Repeat the first record exactly.
The following is a DFT calculation (PBE) of crystalline Be3CuBr at its relaxed geometry.

abc: 4.2725 4.2725 4.2725
angles: 90.00 90.00 90.00
Fractional coordinates of all 5 atoms:
Be1 0.5000 0.0000 0.0000
Be2 0.0000 0.0000 0.5000
Br1 0.5000 0.5000 0.5000
Cu1 0.0000 0.0000 0.0000
Be3 0.0000 0.5000 0.0000

Values from the calculation:
Its volume is 15.60 Å³/atom. For the energy relative to the elements, uncorrected, the calculation gives 798 meV/atom. Its total energy is -2.59 eV/atom. For the energy relative to the lowest polymorph listed for this composition, the calculation gives 0.0 meV/atom. The value obtained for the size of the total moment is 0.00 μB per formula unit.